Record 1
A relaxed BaMgZn2Bi crystal. Source: the Alexandria database, functional PBE.

Lattice parameters (Å, degrees): 5.2686 5.2686 5.6830 90.00 90.00 90.00
With the nearest neighbours (Å) after each atom.
Space group P4/mmm (No. 123)
One atom of each set of equivalent atoms:
Ba (0.0000, 0.0000, 0.0000) [1 per cell]  4 Bi 3.73, 8 Zn 3.87
Mg (0.5000, 0.5000, 0.5000) [1 per cell]  4 Zn 2.63, 2 Bi 2.84
Zn (0.0000, 0.5000, 0.5000) [2 per cell]  2 Mg 2.63
Bi (0.5000, 0.5000, 0.0000) [1 per cell]  2 Mg 2.84

calculated volume = 31.55 A^3/atom
total magnetic moment = 0.0 μB per formula unit
crystal system = tetragonal
calculated formation energy = -0.091 eV per atom

---

Record 2
A relaxed Er3Te crystal. Source: the Alexandria database, functional PBE.

Lattice parameters (Å, degrees): 7.2907 3.8300 8.4601 90.00 94.03 90.00
With the nearest neighbours (Å) after each atom.
Space group P2_1/m (No. 11)
One atom of each set of equivalent atoms:
Er (0.0850, 0.2500, 0.3455) [2 per cell]  2 Te 3.17, 5 Er 3.30-3.53
Er (0.2171, 0.2500, 0.9313) [2 per cell]  3 Te 3.11-3.24
Er (0.3607, 0.7500, 0.6062) [2 per cell]  3 Te 3.12-3.47, 5 Er 3.30-3.46
Te (0.3745, 0.7500, 0.1970) [2 per cell]  8 Er 3.11-3.47

calculated volume = 29.46 A^3/atom
energy relative to the elements, uncorrected = -561 meV per atom
total magnetic moment = 0.0 μB per formula unit
crystal system = monoclinic
excess energy over the best structure of this formula in the dataset = 46 meV/atom

---

Record 3
A relaxed Tb6Pm2DySc3 crystal. Source: the Alexandria database, functional PBE.

Lattice parameters (Å, degrees): 6.0861 10.5381 11.5289 90.00 100.12 90.00
With the nearest neighbours (Å) after each atom.
Space group C2/m (No. 12)
One atom of each set of equivalent atoms:
Tb (0.2459, 0.0000, 0.2391) [4 per cell]  3 Sc 3.39, 6 Tb 3.51-3.52, 1 Dy 3.59, 2 Pm 3.59
Tb (0.2465, 0.3335, 0.2391) [8 per cell]  3 Sc 3.39, 6 Tb 3.51-3.52, 1 Dy 3.59, 2 Pm 3.59
Pm (0.0000, 0.3332, 0.5000) [4 per cell]  3 Dy 3.51, 3 Pm 3.51, 6 Tb 3.59
Dy (0.0000, 0.0000, 0.5000) [2 per cell]  6 Pm 3.51, 6 Tb 3.59
Sc (0.0000, 0.1664, 0.0000) [4 per cell]  6 Tb 3.39, 6 Sc 3.51-3.52
Sc (0.0000, 0.5000, 0.0000) [2 per cell]  6 Tb 3.39, 6 Sc 3.51-3.52

calculated volume = 30.33 A^3/atom
total magnetic moment = 0.0 μB per formula unit
crystal system = monoclinic
calculated formation energy = 0.045 eV per atom

---

Record 4
A relaxed CsIn2GaIr crystal. Source: the Alexandria database, functional PBE.

Lattice parameters (Å, degrees): 6.3517 6.3517 5.1375 90.00 90.00 90.00
With the nearest neighbours (Å) after each atom.
Space group P4/mmm (No. 123)
One atom of each set of equivalent atoms:
Cs (0.0000, 0.0000, 0.0000) [1 per cell]  2 Ir 2.57
In (0.0000, 0.5000, 0.0000) [2 per cell]  2 Cs 3.18
Ga (0.5000, 0.5000, 0.5000) [1 per cell]  8 In 4.08, 4 Ir 4.49
Ir (0.0000, 0.0000, 0.5000) [1 per cell]  2 Cs 2.57

calculated volume = 41.45 A^3/atom
total magnetic moment = 0.0 μB per formula unit
crystal system = tetragonal
calculated formation energy = 1.606 eV per atom
excess energy over the best structure of this formula in the dataset = 1766 meV/atom

---

Record 5
A relaxed AuOF3 crystal. Source: the Alexandria database, functional PBE.

Lattice parameters (Å, degrees): 4.2445 4.2445 4.2445 90.00 90.00 90.00
With the nearest neighbours (Å) after each atom.
Space group Pm-3m (No. 221)
One atom of each set of equivalent atoms:
Au (0.0000, 0.0000, 0.0000) [1 per cell]  6 F 2.12
O (0.5000, 0.5000, 0.5000) [1 per cell]  12 F 3.00
F (0.0000, 0.0000, 0.5000) [3 per cell]  2 Au 2.12

calculated volume = 15.29 A^3/atom
energy relative to the elements, uncorrected = -97 meV per atom
total magnetic moment = 2.3 μB per formula unit
crystal system = cubic
excess energy over the best structure of this formula in the dataset = 215 meV/atom

---

Record 6
A relaxed Ho5MgSb2 crystal. Source: the Alexandria database, functional PBE.

Lattice parameters (Å, degrees): 4.5003 11.6379 17.4770 90.00 90.00 90.00
With the nearest neighbours (Å) after each atom.
Space group Cmcm (No. 63)
One atom of each set of equivalent atoms:
Ho (0.0000, 0.0142, 0.2500) [4 per cell]  3 Mg 3.28-3.43, 2 Sb 3.33, 4 Ho 3.45
Ho (0.0000, 0.1477, 0.5366) [8 per cell]  3 Sb 3.11-3.23, 2 Ho 3.40
Ho (0.0000, 0.4520, 0.6024) [8 per cell]  1 Mg 3.26, 3 Sb 3.26-3.58, 6 Ho 3.40-3.51
Mg (0.0000, 0.2805, 0.7500) [4 per cell]  4 Sb 3.01, 4 Ho 3.26-3.28
Sb (0.0000, 0.2444, 0.1365) [8 per cell]  2 Mg 3.01, 6 Ho 3.11-3.33

calculated volume = 28.60 A^3/atom
energy relative to the elements, uncorrected = -371 meV per atom
total magnetic moment = 0.0 μB per formula unit
crystal system = orthorhombic